(1)
The following is a DFT calculation (PBE-GGA) of a relaxed structure of Pr5Y2Er2.

Output
density of states at the Fermi level = 23.697 states/eV/cell
polymorph energy (0 for the lowest one) = 200 meV/atom

Geometry as CIF:
```
data_Pr5Y2Er2
_cell_length_a 11.9249
_cell_length_b 6.8569
_cell_length_c 10.2201
_cell_angle_alpha 109.60
_cell_angle_beta 125.69
_cell_angle_gamma 90.00
_space_group_name_H-M_alt 'P 1'
_space_group_IT_number 1
loop_
_space_group_symop_operation_xyz
'x,y,z'
loop_
_atom_site_label
_atom_site_fract_x
_atom_site_fract_y
_atom_site_fract_z
_atom_site_occupancy
Pr1 0.7792 0.2683 0.0997 1
Pr2 0.0119 0.6519 0.5000 1
Pr3 0.5802 0.2384 0.7113 1
Pr4 0.3689 0.0271 0.2887 1
Pr5 0.4198 0.5271 0.2887 1
Pr6 0.8205 0.7683 0.0997 1
Pr7 0.9881 0.1519 0.5000 1
Pr8 0.2208 0.1686 0.9003 1
Pr9 0.1795 0.6686 0.9003 1
Pr10 0.6311 0.7384 0.7113 1
Er1 0.2504 0.3422 0.5000 1
Er2 0.7496 0.8422 0.5000 1
Er3 0.0000 0.0661 0.0000 1
Er4 0.5000 0.5661 0.0000 1
Y1 0.1392 0.6657 0.2580 1
Y2 0.3811 0.9076 0.7420 1
Y3 0.6188 0.1657 0.2580 1
Y4 0.8608 0.4076 0.7420 1
```


(2)
The following is a DFT calculation (PBE-GGA) of a relaxed structure of Pr3Y2Er4.

Output
density of states at the Fermi level = 27.144 states/eV/cell
polymorph energy (0 for the lowest one) = 0 meV/atom

Geometry as CIF:
```
data_Pr3Y2Er4
_cell_length_a 6.1788
_cell_length_b 11.2674
_cell_length_c 11.2674
_cell_angle_alpha 62.85
_cell_angle_beta 62.70
_cell_angle_gamma 62.70
_space_group_name_H-M_alt 'P 1'
_space_group_IT_number 1
loop_
_space_group_symop_operation_xyz
'x,y,z'
loop_
_atom_site_label
_atom_site_fract_x
_atom_site_fract_y
_atom_site_fract_z
_atom_site_occupancy
Er1 0.9131 0.8496 0.6055 1
Er2 0.4131 0.6055 0.8496 1
Er3 0.0769 0.8227 0.0609 1
Er4 0.4231 0.9391 0.1773 1
Er5 0.5769 0.0609 0.8227 1
Er6 0.0869 0.1504 0.3945 1
Er7 0.9231 0.1773 0.9391 1
Er8 0.5869 0.3945 0.1504 1
Pr1 0.2460 0.9733 0.6962 1
Pr2 0.2500 0.6432 0.3568 1
Pr3 0.7460 0.6962 0.9733 1
Pr4 0.7500 0.3568 0.6432 1
Pr5 0.2540 0.3038 0.0267 1
Pr6 0.7540 0.0267 0.3038 1
Y1 0.5738 0.7284 0.4902 1
Y2 0.9262 0.5098 0.2716 1
Y3 0.0738 0.4902 0.7284 1
Y4 0.4262 0.2716 0.5098 1
```


(3)
The following is a DFT calculation (PBE-GGA) of a relaxed structure of Pr2Y3Er4.

Output
density of states at the Fermi level = 27.474 states/eV/cell
total energy = -5.147 eV per atom

Geometry as CIF:
```
data_Pr2Y3Er4
_cell_length_a 6.0217
_cell_length_b 11.2959
_cell_length_c 11.2959
_cell_angle_alpha 62.13
_cell_angle_beta 63.77
_cell_angle_gamma 63.77
_space_group_name_H-M_alt 'P 1'
_space_group_IT_number 1
loop_
_space_group_symop_operation_xyz
'x,y,z'
loop_
_atom_site_label
_atom_site_fract_x
_atom_site_fract_y
_atom_site_fract_z
_atom_site_occupancy
Er1 0.0775 0.8323 0.0461 1
Er2 0.4225 0.9539 0.1677 1
Er3 0.4022 0.6237 0.8429 1
Er4 0.9022 0.8429 0.6237 1
Er5 0.5775 0.0461 0.8323 1
Er6 0.0978 0.1571 0.3763 1
Er7 0.5978 0.3763 0.1571 1
Er8 0.9225 0.1677 0.9539 1
Y1 0.2500 0.6491 0.3509 1
Y2 0.2377 0.9862 0.6872 1
Y3 0.7377 0.6872 0.9862 1
Y4 0.7623 0.0138 0.3128 1
Y5 0.2623 0.3128 0.0138 1
Y6 0.7500 0.3509 0.6491 1
Pr1 0.5652 0.7231 0.4904 1
Pr2 0.4348 0.2769 0.5096 1
Pr3 0.0652 0.4904 0.7231 1
Pr4 0.9348 0.5096 0.2769 1
```


(4)
The following is a DFT calculation (PBE-GGA) of a relaxed structure of Pr12YEr3.

Output
density of states at the Fermi level = 23.598 states/eV/cell
total energy = -4.833 eV per atom

Geometry as CIF:
```
data_Pr12YEr3
_cell_length_a 5.1884
_cell_length_b 5.1884
_cell_length_c 20.6903
_cell_angle_alpha 90.00
_cell_angle_beta 90.00
_cell_angle_gamma 90.00
_space_group_name_H-M_alt 'P 1'
_space_group_IT_number 1
loop_
_space_group_symop_operation_xyz
'x,y,z'
loop_
_atom_site_label
_atom_site_fract_x
_atom_site_fract_y
_atom_site_fract_z
_atom_site_occupancy
Pr1 0.5000 0.5000 0.0000 1
Pr2 0.5000 0.0000 0.3752 1
Pr3 0.0000 0.5000 0.1259 1
Pr4 0.5000 0.0000 0.8741 1
Pr5 0.5000 0.0000 0.1259 1
Pr6 0.0000 0.5000 0.6248 1
Pr7 0.5000 0.5000 0.2506 1
Pr8 0.0000 0.5000 0.3752 1
Pr9 0.5000 0.5000 0.5000 1
Pr10 0.0000 0.5000 0.8741 1
Pr11 0.5000 0.0000 0.6248 1
Pr12 0.5000 0.5000 0.7494 1
Er1 0.0000 0.0000 0.5000 1
Er2 0.0000 0.0000 0.2504 1
Er3 0.0000 0.0000 0.7496 1
Y1 0.0000 0.0000 0.0000 1
```


(5)
The following is a DFT calculation (PBE-GGA) of a relaxed structure of PrY6Er.

Output
density of states at the Fermi level = 14.033 states/eV/cell
polymorph energy (0 for the lowest one) = 0 meV/atom

Geometry as CIF:
```
data_PrY6Er
_cell_length_a 8.6706
_cell_length_b 9.6604
_cell_length_c 6.4899
_cell_angle_alpha 41.92
_cell_angle_beta 48.09
_cell_angle_gamma 56.14
_space_group_name_H-M_alt 'P 1'
_space_group_IT_number 1
loop_
_space_group_symop_operation_xyz
'x,y,z'
loop_
_atom_site_label
_atom_site_fract_x
_atom_site_fract_y
_atom_site_fract_z
_atom_site_occupancy
Y1 0.7530 0.9555 0.7488 1
Y2 0.4575 0.2471 0.3395 1
Y3 0.9558 0.4574 0.8338 1
Y4 0.2470 0.0445 0.2512 1
Y5 0.0442 0.5426 0.1662 1
Y6 0.5425 0.7529 0.6605 1
Er1 0.0000 0.0000 0.0000 1
Pr1 0.5000 0.5000 0.5000 1
```


(6)
The following is a DFT calculation (PBE-GGA) of a relaxed structure of Pr7YEr3.

Output
density of states at the Fermi level = 14.324 states/eV/cell
polymorph energy (0 for the lowest one) = 152 meV/atom

Geometry as CIF:
```
data_Pr7YEr3
_cell_length_a 5.9462
_cell_length_b 8.6287
_cell_length_c 8.6287
_cell_angle_alpha 83.37
_cell_angle_beta 110.16
_cell_angle_gamma 110.16
_space_group_name_H-M_alt 'P 1'
_space_group_IT_number 1
loop_
_space_group_symop_operation_xyz
'x,y,z'
loop_
_atom_site_label
_atom_site_fract_x
_atom_site_fract_y
_atom_site_fract_z
_atom_site_occupancy
Pr1 0.6929 0.9829 0.4027 1
Pr2 0.7922 0.7926 0.7926 1
Pr3 0.3071 0.5973 0.0171 1
Pr4 0.3071 0.0171 0.5973 1
Pr5 0.2078 0.2074 0.2074 1
Pr6 0.6929 0.4027 0.9829 1
Pr7 0.0000 0.5000 0.5000 1
Er1 0.5000 0.0000 0.0000 1
Er2 0.0000 0.7955 0.2045 1
Er3 0.0000 0.2045 0.7955 1
Y1 0.5000 0.5000 0.5000 1
```


(7)
The following is a DFT calculation (PBE-GGA) of a relaxed structure of Pr5Y2Er4.

Output
density of states at the Fermi level = 15.684 states/eV/cell
polymorph energy (0 for the lowest one) = 0 meV/atom

Geometry as CIF:
```
data_Pr5Y2Er4
_cell_length_a 3.5969
_cell_length_b 11.8974
_cell_length_c 9.2543
_cell_angle_alpha 101.86
_cell_angle_beta 101.21
_cell_angle_gamma 90.00
_space_group_name_H-M_alt 'P 1'
_space_group_IT_number 1
loop_
_space_group_symop_operation_xyz
'x,y,z'
loop_
_atom_site_label
_atom_site_fract_x
_atom_site_fract_y
_atom_site_fract_z
_atom_site_occupancy
Er1 0.6878 0.7635 0.3756 1
Er2 0.3122 0.2365 0.6244 1
Er3 0.0185 0.7282 0.0370 1
Er4 0.9815 0.2718 0.9630 1
Y1 0.6496 0.2563 0.2992 1
Y2 0.3504 0.7437 0.7008 1
Pr1 0.5000 0.0000 0.0000 1
Pr2 0.1654 0.0021 0.3308 1
Pr3 0.8346 0.9979 0.6692 1
Pr4 0.1482 0.5121 0.2964 1
Pr5 0.8518 0.4879 0.7036 1
```


(8)
The following is a DFT calculation (PBE-GGA) of a relaxed structure of PrY3Er.

Output
density of states at the Fermi level = 19.180 states/eV/cell
polymorph energy (0 for the lowest one) = 0 meV/atom

Geometry as CIF:
```
data_PrY3Er
_cell_length_a 5.7291
_cell_length_b 6.3008
_cell_length_c 9.6527
_cell_angle_alpha 108.82
_cell_angle_beta 90.00
_cell_angle_gamma 90.00
_space_group_name_H-M_alt 'P 1'
_space_group_IT_number 1
loop_
_space_group_symop_operation_xyz
'x,y,z'
loop_
_atom_site_label
_atom_site_fract_x
_atom_site_fract_y
_atom_site_fract_z
_atom_site_occupancy
Y1 0.9221 0.2234 0.9890 1
Y2 0.4221 0.7563 0.3954 1
Y3 0.4221 0.9580 0.7927 1
Y4 0.9221 0.8220 0.1898 1
Y5 0.9221 0.6203 0.7926 1
Y6 0.4221 0.3549 0.5962 1
Pr1 0.9221 0.4219 0.3949 1
Pr2 0.4221 0.1563 0.1904 1
Er1 0.9221 0.0213 0.5944 1
Er2 0.4221 0.5570 0.9908 1
```


(9)
The following is a DFT calculation (PBE-GGA) of a relaxed structure of Pr7YEr3.

Output
density of states at the Fermi level = 32.568 states/eV/cell
polymorph energy (0 for the lowest one) = 0 meV/atom

Geometry as CIF:
```
data_Pr7YEr3
_cell_length_a 10.4567
_cell_length_b 10.1581
_cell_length_c 13.3554
_cell_angle_alpha 116.96
_cell_angle_beta 58.84
_cell_angle_gamma 140.83
_space_group_name_H-M_alt 'P 1'
_space_group_IT_number 1
loop_
_space_group_symop_operation_xyz
'x,y,z'
loop_
_atom_site_label
_atom_site_fract_x
_atom_site_fract_y
_atom_site_fract_z
_atom_site_occupancy
Pr1 0.2304 0.3550 0.8321 1
Pr2 0.9616 0.2445 0.1653 1
Pr3 0.6381 0.9430 0.4780 1
Pr4 0.3443 0.0538 0.0215 1
Pr5 0.8073 0.7727 0.2072 1
Pr6 0.8917 0.4875 0.9428 1
Pr7 0.8075 0.7726 0.7071 1
Pr8 0.2295 0.3551 0.3326 1
Pr9 0.6388 0.9439 0.9778 1
Pr10 0.3440 0.0529 0.5213 1
Pr11 0.1164 0.6846 0.1620 1
Pr12 0.9609 0.2438 0.6658 1
Pr13 0.8914 0.4868 0.4425 1
Pr14 0.1158 0.6839 0.6622 1
Y1 0.4931 0.4915 0.0118 1
Y2 0.4923 0.4908 0.5121 1
Er1 0.5596 0.2361 0.2433 1
Er2 0.4344 0.7888 0.2575 1
Er3 0.5594 0.2354 0.7432 1
Er4 0.0250 0.9448 0.9281 1
Er5 0.0247 0.9445 0.4281 1
Er6 0.4338 0.7882 0.7577 1
```


(10)
The following is a DFT calculation (PBE-GGA) of a relaxed structure of Pr5YEr12.

Output
density of states at the Fermi level = 28.059 states/eV/cell
total energy = -4.637 eV per atom

Geometry as CIF:
```
data_Pr5YEr12
_cell_length_a 11.7053
_cell_length_b 10.4388
_cell_length_c 5.7433
_cell_angle_alpha 90.00
_cell_angle_beta 90.00
_cell_angle_gamma 55.90
_space_group_name_H-M_alt 'P 1'
_space_group_IT_number 1
loop_
_space_group_symop_operation_xyz
'x,y,z'
loop_
_atom_site_label
_atom_site_fract_x
_atom_site_fract_y
_atom_site_fract_z
_atom_site_occupancy
Er1 0.6645 0.3544 0.0003 1
Er2 0.1971 0.0000 0.5011 1
Er3 0.8346 0.6430 0.5002 1
Er4 0.6993 0.0000 0.9990 1
Er5 0.9810 0.3544 0.9997 1
Er6 0.1654 0.3570 0.4998 1
Er7 0.8029 0.0000 0.4989 1
Er8 0.3355 0.6456 0.9997 1
Er9 0.4776 0.3570 0.5002 1
Er10 0.3007 0.0000 0.0010 1
Er11 0.5225 0.6430 0.4998 1
Er12 0.0190 0.6456 0.0003 1
Y1 0.0000 0.0000 0.0000 1
Pr1 0.1386 0.7228 0.5000 1
Pr2 0.8614 0.2772 0.5000 1
Pr3 0.6417 0.7165 0.0000 1
Pr4 0.3583 0.2835 0.0000 1
Pr5 0.5000 0.0000 0.5000 1
```


(11)
The following is a DFT calculation (PBE-GGA) of a relaxed structure of Pr12Y5Er2.

Output
density of states at the Fermi level = 27.610 states/eV/cell
polymorph energy (0 for the lowest one) = 0 meV/atom

Geometry as CIF:
```
data_Pr12Y5Er2
_cell_length_a 7.1795
_cell_length_b 8.8489
_cell_length_c 11.8706
_cell_angle_alpha 109.57
_cell_angle_beta 107.60
_cell_angle_gamma 90.00
_space_group_name_H-M_alt 'P 1'
_space_group_IT_number 1
loop_
_space_group_symop_operation_xyz
'x,y,z'
loop_
_atom_site_label
_atom_site_fract_x
_atom_site_fract_y
_atom_site_fract_z
_atom_site_occupancy
Er1 0.7415 0.0000 0.0000 1
Er2 0.2585 0.0000 0.0000 1
Y1 0.7512 0.5093 0.5024 1
Y2 0.3507 0.9023 0.7014 1
Y3 0.0000 0.5000 0.0000 1
Y4 0.6493 0.0977 0.2986 1
Y5 0.2488 0.4907 0.4976 1
Pr1 0.1505 0.6156 0.7889 1
Pr2 0.5468 0.2064 0.5987 1
Pr3 0.4532 0.7936 0.4013 1
Pr4 0.6384 0.6156 0.7889 1
Pr5 0.5481 0.6958 0.0962 1
Pr6 0.8495 0.3844 0.2111 1
Pr7 0.9481 0.7936 0.4013 1
Pr8 0.3616 0.3844 0.2111 1
Pr9 0.0519 0.2064 0.5987 1
Pr10 0.8593 0.9458 0.7186 1
Pr11 0.4519 0.3042 0.9038 1
Pr12 0.1407 0.0542 0.2814 1
```


(12)
The following is a DFT calculation (PBE-GGA) of a relaxed structure of PrY7Er4.

Output
density of states at the Fermi level = 17.635 states/eV/cell
polymorph energy (0 for the lowest one) = 0 meV/atom

Geometry as CIF:
```
data_PrY7Er4
_cell_length_a 7.2027
_cell_length_b 9.5148
_cell_length_c 8.8567
_cell_angle_alpha 81.11
_cell_angle_beta 90.05
_cell_angle_gamma 40.90
_space_group_name_H-M_alt 'P 1'
_space_group_IT_number 1
loop_
_space_group_symop_operation_xyz
'x,y,z'
loop_
_atom_site_label
_atom_site_fract_x
_atom_site_fract_y
_atom_site_fract_z
_atom_site_occupancy
Y1 0.7507 0.5009 0.0011 1
Y2 0.2224 0.7779 0.6646 1
Y3 0.5000 0.0000 0.0000 1
Y4 0.9722 0.2805 0.6636 1
Y5 0.7776 0.2221 0.3354 1
Y6 0.0278 0.7195 0.3364 1
Y7 0.2493 0.4991 0.9989 1
Er1 0.7207 0.7794 0.6637 1
Er2 0.2793 0.2206 0.3363 1
Er3 0.4705 0.2775 0.6647 1
Er4 0.5295 0.7225 0.3353 1
Pr1 0.0000 0.0000 0.0000 1
```